1.
Compound: TaTiSb
Source: Alexandria
Functional: PBE-GGA
Structure: relaxed

Computed properties:
Formation energy from raw total energies in eV per formula unit: 0.230
Spin magnetization in μB per formula unit: 0.0

Structure (POSCAR):
```
TaTiSb
1.0
8.1252 -1.4795 0.0000
8.1252 1.4795 0.0000
-1.5595 0.0000 5.0600
Ta Ti Sb
2 2 2
Direct
0.0005 0.0005 0.2451
0.9995 0.9995 0.7549
0.3498 0.3498 0.8664
0.6502 0.6502 0.1336
0.1660 0.1660 0.6541
0.8340 0.8340 0.3459
```


2.
Compound: TaTiSb
Source: Alexandria
Functional: PBE-GGA
Structure: relaxed

Computed properties:
Formation energy from raw total energies in eV per formula unit: 0.299
Spin magnetization in μB per formula unit: 0.0

Structure (POSCAR):
```
TaTiSb
1.0
4.7485 0.0000 0.0000
-2.3742 4.1123 0.0000
0.0000 0.0000 2.9368
Ta Ti Sb
1 1 1
Direct
0.0000 0.0000 0.0000
0.6667 0.3333 0.6078
0.3333 0.6667 0.3071
```


3.
Compound: Ta3Ti2Sb
Source: Alexandria
Functional: PBE-GGA
Structure: relaxed

Computed properties:
Formation energy from raw total energies in eV per formula unit: -0.268
Spin magnetization in μB per formula unit: 0.0

Structure (POSCAR):
```
Ta3Ti2Sb
1.0
6.9121 -2.4014 0.0000
6.9121 2.4014 0.0000
-4.1635 0.0000 6.6991
Ta Ti Sb
6 4 2
Direct
0.0438 0.0438 0.2074
0.2948 0.2948 0.4631
0.3833 0.3833 0.8789
0.6167 0.6167 0.1211
0.7052 0.7052 0.5369
0.9562 0.9562 0.7926
0.2040 0.2040 0.0531
0.4541 0.4541 0.2821
0.5459 0.5459 0.7179
0.7960 0.7960 0.9469
0.1388 0.1388 0.6488
0.8612 0.8612 0.3512
```


4.
Compound: Ta2TiSb2
Source: Alexandria
Functional: PBE-GGA
Structure: relaxed

Computed properties:
Energy above the lowest structure with this stoichiometry in meV/atom: 199
Formation energy from raw total energies in eV per formula unit: 1.545
Spin magnetization in μB per formula unit: 0.0

Structure (POSCAR):
```
Ta2TiSb2
1.0
-1.9250 1.9250 7.4311
1.9250 -1.9250 7.4311
1.9250 1.9250 -7.4311
Ta Ti Sb
2 1 2
Direct
0.2500 0.7500 0.5000
0.7500 0.2500 0.5000
0.0000 0.0000 0.0000
0.3964 0.3964 0.0000
0.6036 0.6036 0.0000
```


5.
Compound: TaTiSb
Source: Alexandria
Functional: PBE-GGA
Structure: relaxed

Computed properties:
Formation energy from raw total energies in eV per formula unit: -0.951
Spin magnetization in μB per formula unit: 0.0

Structure (POSCAR):
```
TaTiSb
1.0
-2.0255 2.0255 7.1953
2.0255 -2.0255 7.1953
2.0255 2.0255 -7.1953
Ta Ti Sb
2 2 2
Direct
0.0000 0.5000 0.5000
0.5000 0.0000 0.5000
0.1572 0.1572 0.0000
0.8428 0.8428 0.0000
0.3520 0.3520 0.0000
0.6480 0.6480 0.0000
```


6.
Compound: TaTlSb2
Source: Alexandria
Functional: PBE-GGA
Structure: relaxed

Computed properties:
Energy above the lowest structure with this stoichiometry in meV/atom: 50
Formation energy from raw total energies in eV per formula unit: 0.405
Spin magnetization in μB per formula unit: 0.0

Structure (POSCAR):
```
TaTlSb2
1.0
8.8441 -1.7112 0.0000
8.8441 1.7112 0.0000
-0.0034 0.0000 3.4534
Ta Tl Sb
1 1 2
Direct
0.0000 0.0000 0.0000
0.7665 0.7665 0.9959
0.4087 0.4087 0.4994
0.5975 0.5975 0.5005
```


7.
Compound: TaTlSb2
Source: Alexandria
Functional: PBE-GGA
Structure: relaxed

Computed properties:
Energy above the lowest structure with this stoichiometry in meV/atom: 332
Formation energy from raw total energies in eV per formula unit: 1.534
Spin magnetization in μB per formula unit: 0.0

Structure (POSCAR):
```
TaTlSb2
1.0
1.8826 -2.5308 0.0000
1.8826 2.5308 0.0000
0.0000 0.0000 10.7231
Ta Tl Sb
1 1 2
Direct
0.0000 0.0000 0.0000
0.5000 0.5000 0.2192
0.0000 0.0000 0.4679
0.5000 0.5000 0.7995
```


8.
Compound: TaTlSb3
Source: Alexandria
Functional: PBE-GGA
Structure: relaxed

Computed properties:
Energy above the lowest structure with this stoichiometry in meV/atom: 0
Formation energy from raw total energies in eV per formula unit: 1.354
Spin magnetization in μB per formula unit: 0.0

Structure (POSCAR):
```
TaTlSb3
1.0
5.4234 0.0000 0.0000
0.0000 5.4234 0.0000
0.0000 0.0000 5.4234
Ta Tl Sb
1 1 3
Direct
0.0000 0.0000 0.0000
0.5000 0.5000 0.5000
0.0000 0.0000 0.5000
0.0000 0.5000 0.0000
0.5000 0.0000 0.0000
```


9.
Compound: TaTlSb2
Source: Alexandria
Functional: PBE-GGA
Structure: relaxed

Computed properties:
Energy above the lowest structure with this stoichiometry in meV/atom: 59
Formation energy from raw total energies in eV per formula unit: 0.444
Spin magnetization in μB per formula unit: 0.0

Structure (POSCAR):
```
TaTlSb2
1.0
1.9499 -2.5386 0.0000
1.9499 2.5386 0.0000
0.0000 0.0000 10.7030
Ta Tl Sb
1 1 2
Direct
0.0000 0.0000 0.0000
0.0000 0.0000 0.5000
0.5000 0.5000 0.1952
0.5000 0.5000 0.8048
```


10.
Compound: TaTlSb2
Source: Alexandria
Functional: PBE-GGA
Structure: relaxed

Computed properties:
Energy above the lowest structure with this stoichiometry in meV/atom: 687
Formation energy from raw total energies in eV per formula unit: 2.955
Spin magnetization in μB per formula unit: 0.6

Structure (POSCAR):
```
TaTlSb2
1.0
0.0000 3.6421 3.6421
3.6421 0.0000 3.6421
3.6421 3.6421 0.0000
Ta Tl Sb
1 1 2
Direct
0.0000 0.0000 0.0000
0.7500 0.7500 0.7500
0.2500 0.2500 0.2500
0.5000 0.5000 0.5000
```


11.
Compound: TaTlSb2
Source: Alexandria
Functional: PBE-GGA
Structure: relaxed

Computed properties:
Energy above the lowest structure with this stoichiometry in meV/atom: 31
Formation energy from raw total energies in eV per formula unit: 0.329
Spin magnetization in μB per formula unit: 0.0

Structure (POSCAR):
```
TaTlSb2
1.0
3.4747 0.0000 0.0000
0.0000 3.4747 0.0000
0.0000 0.0000 8.4181
Ta Tl Sb
1 1 2
Direct
0.0000 0.0000 0.0000
0.0000 0.0000 0.5000
0.5000 0.5000 0.1942
0.5000 0.5000 0.8058
```


12.
Compound: TaTlSb4
Source: Alexandria
Functional: PBE-GGA
Structure: relaxed

Computed properties:
Formation energy from raw total energies in eV per formula unit: 4.781
Spin magnetization in μB per formula unit: 0.0

Structure (POSCAR):
```
TaTlSb4
1.0
0.0000 4.3446 4.3446
4.3446 0.0000 4.3446
4.3446 4.3446 0.0000
Ta Tl Sb
1 1 4
Direct
0.0000 0.0000 0.0000
0.7500 0.7500 0.7500
0.3741 0.3741 0.3741
0.3741 0.3741 0.8778
0.3741 0.8778 0.3741
0.8778 0.3741 0.3741
```


13.
Compound: TaTlSb2
Source: Alexandria
Functional: PBE-GGA
Structure: relaxed

Computed properties:
Energy above the lowest structure with this stoichiometry in meV/atom: 0
Formation energy from raw total energies in eV per formula unit: 0.207
Spin magnetization in μB per formula unit: 0.0

Structure (POSCAR):
```
TaTlSb2
1.0
2.8094 -1.7499 0.0000
2.8094 1.7499 0.0000
-1.1999 0.0000 11.0915
Ta Tl Sb
1 1 2
Direct
0.0000 0.0000 0.0000
0.5000 0.5000 0.5000
0.3871 0.3871 0.1906
0.6129 0.6129 0.8094
```


14.
Compound: Ta3TlSb
Source: Alexandria
Functional: PBE-GGA
Structure: relaxed

Computed properties:
Energy above the lowest structure with this stoichiometry in meV/atom: 0
Formation energy from raw total energies in eV per formula unit: 8.880
Spin magnetization in μB per formula unit: 0.0

Structure (POSCAR):
```
Ta3TlSb
1.0
5.0574 0.0000 0.0000
0.0000 5.0574 0.0000
0.0000 0.0000 5.0574
Ta Tl Sb
3 1 1
Direct
0.0000 0.0000 0.5000
0.0000 0.5000 0.0000
0.5000 0.0000 0.0000
0.5000 0.5000 0.5000
0.0000 0.0000 0.0000
```


15.
Compound: TaTlSb2
Source: Alexandria
Functional: PBE-GGA
Structure: relaxed

Computed properties:
Energy above the lowest structure with this stoichiometry in meV/atom: 296
Formation energy from raw total energies in eV per formula unit: 1.389
Spin magnetization in μB per formula unit: 0.0

Structure (POSCAR):
```
TaTlSb2
1.0
3.8329 0.0000 0.0000
0.0000 4.9986 0.0000
-1.9096 0.0000 5.1901
Ta Tl Sb
1 1 2
Direct
0.0000 0.0000 0.0000
0.5954 0.5000 0.1949
0.2898 0.0000 0.5786
0.8736 0.5000 0.7469
```


16.
Compound: TaTlSb2
Source: Alexandria
Functional: PBE-GGA
Structure: relaxed

Computed properties:
Energy above the lowest structure with this stoichiometry in meV/atom: 316
Formation energy from raw total energies in eV per formula unit: 1.472
Spin magnetization in μB per formula unit: 0.0

Structure (POSCAR):
```
TaTlSb2
1.0
3.5870 0.0000 0.0000
0.0000 3.5870 0.0000
0.0000 0.0000 7.9124
Ta Tl Sb
1 1 2
Direct
0.0000 0.0000 0.0000
0.5000 0.5000 0.2647
0.0000 0.0000 0.5981
0.5000 0.5000 0.8513
```


17.
Compound: TaTl4Sb
Source: Alexandria
Functional: PBE-GGA
Structure: relaxed

Computed properties:
Formation energy from raw total energies in eV per formula unit: 5.315
Spin magnetization in μB per formula unit: 0.0

Structure (POSCAR):
```
TaTl4Sb
1.0
0.0000 4.3163 4.3163
4.3163 0.0000 4.3163
4.3163 4.3163 0.0000
Ta Tl Sb
1 4 1
Direct
0.0000 0.0000 0.0000
0.1232 0.6256 0.6256
0.6256 0.1232 0.6256
0.6256 0.6256 0.1232
0.6256 0.6256 0.6256
0.2500 0.2500 0.2500
```


18.
Compound: TaTlSb2
Source: Alexandria
Functional: PBE-GGA
Structure: relaxed

Computed properties:
Energy above the lowest structure with this stoichiometry in meV/atom: 557
Formation energy from raw total energies in eV per formula unit: 2.436
Spin magnetization in μB per formula unit: 0.0

Structure (POSCAR):
```
TaTlSb2
1.0
3.6292 0.0000 0.0000
0.0000 4.9824 0.0000
0.0000 0.0000 5.2402
Ta Tl Sb
1 1 2
Direct
0.0000 0.0000 0.0000
0.5000 0.0000 0.5000
0.0000 0.5000 0.5000
0.5000 0.5000 0.0000
```


19.
Compound: TaTlSb2
Source: Alexandria
Functional: PBE-GGA
Structure: relaxed

Computed properties:
Energy above the lowest structure with this stoichiometry in meV/atom: 285
Formation energy from raw total energies in eV per formula unit: 1.349
Spin magnetization in μB per formula unit: 0.0

Structure (POSCAR):
```
TaTlSb2
1.0
3.1654 0.0000 0.0000
0.0000 4.0416 0.0000
0.0000 0.0000 9.6839
Ta Tl Sb
1 1 2
Direct
0.0000 0.0000 0.0000
0.5000 0.5000 0.4934
0.0000 0.0000 0.7265
0.5000 0.5000 0.1325
```


20.
Compound: Ta3TlSb
Source: Alexandria
Functional: PBE-GGA
Structure: relaxed

Computed properties:
Energy above the lowest structure with this stoichiometry in meV/atom: 435
Formation energy from raw total energies in eV per formula unit: 11.055
Spin magnetization in μB per formula unit: 0.0

Structure (POSCAR):
```
Ta3TlSb
1.0
5.0938 0.0000 0.0000
0.0000 5.0938 0.0000
0.0000 0.0000 5.0938
Ta Tl Sb
3 1 1
Direct
0.0000 0.0000 0.5000
0.0000 0.5000 0.0000
0.5000 0.0000 0.0000
0.0000 0.0000 0.0000
0.5000 0.5000 0.5000
```